TaFeHg: optimized geometry, GGA-PBE.

Summary:
Space-group type: F-43m (216)
ΔH_f (0 K) (meV/atom): 619.3
Electronic total energy (eV per atom): -6.253

Cell and atoms, written as POSCAR:
```
TaFeHg
1.0
0.000 3.031 3.031
3.031 0.000 3.031
3.031 3.031 0.000
Ta Fe Hg
1 1 1
Direct
0.000 0.000 0.000
0.750 0.750 0.750
0.500 0.500 0.500
```